--- w ---
This record from Alexandria via LeMat-Bulk describes a relaxed structure of CsSn2Ru. The functional is PBE.

Results
space-group type	Fm-3m (225)

a b c (Å): 5.2713 5.2713 5.2713
angles (deg): 60.00 60.00 60.00
Last column: magnetic moment on the atom in μB.
Fractional positions:
Cs (0.5000, 0.5000, 0.5000)  0.00
Ru (0.0000, 0.0000, 0.0000)  0.24
Sn (0.2500, 0.2500, 0.2500)  -0.01
Sn (0.7500, 0.7500, 0.7500)  -0.01

=====

--- x ---
This record from Alexandria via LeMat-Bulk describes a relaxed structure of CsSn2Ru. The functional is PBE.

Results
space-group type	I4_1/amd (141)

a b c (Å): 7.0791 7.0791 8.6036
angles (deg): 65.71 65.71 90.00
Fractional positions:
Cs (0.0000, 0.0000, 0.0000)
Cs (0.7500, 0.2500, 0.5000)
Ru (0.5000, 0.5000, 0.0000)
Ru (0.2500, 0.7500, 0.5000)
Sn (0.3751, 0.1250, 0.2500)
Sn (0.3749, 0.6250, 0.2500)
Sn (0.3750, 0.6249, 0.7500)
Sn (0.8750, 0.6251, 0.7500)

=====

Which one is most stable, and which one is least stable? x is the most stable of them, while w is the least stable.

=====

--- w ---
This record from Alexandria via LeMat-Bulk describes a relaxed structure of Cs2SrRu. The functional is PBE.

Results
space-group type	Fd-3m (227)

a b c (Å): 8.8293 8.8293 8.8293
angles (deg): 60.00 60.00 60.00
Last column: magnetic moment on the atom in μB.
Fractional positions:
Cs (0.1250, 0.6250, 0.6250)  0.00
Cs (0.6250, 0.1250, 0.6250)  0.00
Cs (0.6250, 0.6250, 0.1250)  0.00
Cs (0.6250, 0.6250, 0.6250)  0.00
Sr (0.2500, 0.2500, 0.2500)  0.00
Sr (0.0000, 0.0000, 0.0000)  0.00
Ru (0.7500, 0.7500, 0.7500)  0.22
Ru (0.5000, 0.5000, 0.5000)  0.22

=====

--- x ---
This record from Alexandria via LeMat-Bulk describes a relaxed structure of Cs2SrRu. The functional is PBE.

Results
space-group type	Fm-3m (225)

a b c (Å): 6.2818 6.2818 6.2818
angles (deg): 60.00 60.00 60.00
Last column: magnetic moment on the atom in μB.
Fractional positions:
Cs (0.2500, 0.2500, 0.2500)  0.00
Cs (0.7500, 0.7500, 0.7500)  0.00
Ru (0.5000, 0.5000, 0.5000)  -1.86
Sr (0.0000, 0.0000, 0.0000)  0.04

=====

Which one is most stable, and which one is least stable? w is the most stable of them, while x is the least stable.

=====

--- w ---
This record from Alexandria via LeMat-Bulk describes a relaxed structure of CsSr3Ru. The functional is PBE.

Results
space-group type	Pm-3m (221)

a b c (Å): 6.1001 6.1001 6.1001
angles (deg): 90.00 90.00 90.00
Last column: magnetic moment on the atom in μB.
Fractional positions:
Cs (0.0000, 0.0000, 0.0000)  -0.07
Ru (0.5000, 0.5000, 0.5000)  2.33
Sr (0.0000, 0.5000, 0.0000)  -0.05
Sr (0.0000, 0.0000, 0.5000)  -0.07
Sr (0.5000, 0.0000, 0.0000)  -0.06

=====

--- x ---
This record from Alexandria via LeMat-Bulk describes a relaxed structure of CsSr3Ru. The functional is PBE.

Results
space-group type	Pm-3m (221)

a b c (Å): 6.1018 6.1018 6.1018
angles (deg): 90.00 90.00 90.00
Fractional positions:
Cs (0.5000, 0.5000, 0.5000)
Ru (0.0000, 0.0000, 0.0000)
Sr (0.0000, 0.5000, 0.0000)
Sr (0.0000, 0.0000, 0.5000)
Sr (0.5000, 0.0000, 0.0000)

=====

Which one is most stable, and which one is least stable? x is the most stable of them, while w is the least stable.

=====

--- w ---
This record from Alexandria via LeMat-Bulk describes a relaxed structure of CsTa2Ru. The functional is PBE.

Results
space-group type	I-42d (122)

a b c (Å): 5.5149 5.5149 9.2502
angles (deg): 72.66 72.66 90.00
Fractional positions:
Cs (0.0000, 0.0000, 0.0000)
Cs (0.7500, 0.2500, 0.5000)
Ru (0.5000, 0.5000, 0.0000)
Ru (0.2500, 0.7500, 0.5000)
Ta (0.4010, 0.1250, 0.2500)
Ta (0.3490, 0.6250, 0.2500)
Ta (0.3750, 0.5990, 0.7500)
Ta (0.8750, 0.6510, 0.7500)

=====

--- x ---
This record from Alexandria via LeMat-Bulk describes a relaxed structure of CsTa2Ru. The functional is PBE.

Results
space-group type	Fm-3m (225)

a b c (Å): 4.7840 4.7840 4.7840
angles (deg): 60.00 60.00 60.00
Fractional positions:
Cs (0.5000, 0.5000, 0.5000)
Ru (0.0000, 0.0000, 0.0000)
Ta (0.2500, 0.2500, 0.2500)
Ta (0.7500, 0.7500, 0.7500)

=====

Which one is most stable, and which one is least stable? x is the most stable of them, while w is the least stable.

=====

--- w ---
This record from Alexandria via LeMat-Bulk describes a relaxed structure of CsTcRu3. The functional is PBE.

Results
space-group type	Pm-3m (221)

a b c (Å): 4.8344 4.8344 4.8344
angles (deg): 90.00 90.00 90.00
Last column: magnetic moment on the atom in μB.
Fractional positions:
Cs (0.5000, 0.5000, 0.5000)  0.00
Ru (0.0000, 0.5000, 0.0000)  0.79
Ru (0.0000, 0.0000, 0.5000)  0.84
Ru (0.5000, 0.0000, 0.0000)  0.45
Tc (0.0000, 0.0000, 0.0000)  -0.19

=====

--- x ---
This record from Alexandria via LeMat-Bulk describes a relaxed structure of CsTcRu3. The functional is PBE.

Results
space-group type	Pm-3m (221)

a b c (Å): 4.7795 4.7795 4.7795
angles (deg): 90.00 90.00 90.00
Fractional positions:
Cs (0.0000, 0.0000, 0.0000)
Ru (0.0000, 0.5000, 0.0000)
Ru (0.0000, 0.0000, 0.5000)
Ru (0.5000, 0.0000, 0.0000)
Tc (0.5000, 0.5000, 0.5000)

=====

Which one is most stable, and which one is least stable? w is the most stable of them, while x is the least stable.

=====

--- w ---
This record from Alexandria via LeMat-Bulk describes a relaxed structure of CsTcRu2. The functional is PBE.

Results
space-group type	I-42d (122)

a b c (Å): 7.3021 7.3021 6.3013
angles (deg): 54.59 54.59 90.00
Fractional positions:
Cs (0.0000, 0.0000, 0.0000)
Cs (0.7500, 0.2500, 0.5000)
Ru (0.5395, 0.1250, 0.2500)
Ru (0.2105, 0.6250, 0.2500)
Ru (0.3750, 0.4605, 0.7500)
Ru (0.8750, 0.7895, 0.7500)
Tc (0.5000, 0.5000, 0.0000)
Tc (0.2500, 0.7500, 0.5000)

=====

--- x ---
This record from Alexandria via LeMat-Bulk describes a relaxed structure of CsTcRu2. The functional is PBE.

Results
space-group type	Fm-3m (225)

a b c (Å): 4.6841 4.6841 4.6841
angles (deg): 60.00 60.00 60.00
Last column: magnetic moment on the atom in μB.
Fractional positions:
Cs (0.5000, 0.5000, 0.5000)  -0.01
Ru (0.2500, 0.2500, 0.2500)  0.44
Ru (0.7500, 0.7500, 0.7500)  0.44
Tc (0.0000, 0.0000, 0.0000)  0.27

=====

Which one is most stable, and which one is least stable? w is the most stable of them, while x is the least stable.

=====

--- w ---
This record from Alexandria via LeMat-Bulk describes a relaxed structure of Cs2TeRu. The functional is PBE.

Results
space-group type	I-42d (122)

a b c (Å): 9.6999 9.6999 9.6999
angles (deg): 93.86 93.86 149.94
Last column: magnetic moment on the atom in μB.
Fractional positions:
Cs (0.6893, 0.3750, 0.8143)  0.00
Cs (0.5607, 0.8750, 0.1857)  0.00
Cs (0.1250, 0.3107, 0.6857)  0.00
Cs (0.6250, 0.4393, 0.3143)  0.00
Te (0.0000, 0.0000, 0.0000)  0.01
Te (0.2500, 0.7500, 0.5000)  0.01
Ru (0.5000, 0.5000, 0.0000)  0.60
Ru (0.7500, 0.2500, 0.5000)  0.60

=====

--- x ---
This record from Alexandria via LeMat-Bulk describes a relaxed structure of Cs2TeRu. The functional is PBE.

Results
space-group type	Fm-3m (225)

a b c (Å): 6.2940 6.2940 6.2940
angles (deg): 60.00 60.00 60.00
Last column: magnetic moment on the atom in μB.
Fractional positions:
Cs (0.2500, 0.2500, 0.2500)  0.02
Cs (0.7500, 0.7500, 0.7500)  0.02
Ru (0.0000, 0.0000, 0.0000)  2.48
Te (0.5000, 0.5000, 0.5000)  0.07

=====

Which one is most stable, and which one is least stable? w is the most stable of them, while x is the least stable.

=====

--- w ---
This record from Alexandria via LeMat-Bulk describes a relaxed structure of Cs2TiRu. The functional is PBE.

Results
space-group type	I-42d (122)

a b c (Å): 10.0688 10.0688 10.0688
angles (deg): 92.83 92.83 154.33
Last column: magnetic moment on the atom in μB.
Fractional positions:
Cs (0.0535, 0.3750, 0.1785)  0.02
Cs (0.1965, 0.8750, 0.8215)  0.02
Cs (0.1250, 0.9465, 0.3215)  0.02
Cs (0.6250, 0.8035, 0.6785)  0.02
Ti (0.5000, 0.5000, 0.0000)  0.59
Ti (0.7500, 0.2500, 0.5000)  0.59
Ru (0.0000, 0.0000, 0.0000)  -0.23
Ru (0.2500, 0.7500, 0.5000)  -0.23

=====

--- x ---
This record from Alexandria via LeMat-Bulk describes a relaxed structure of Cs2TiRu. The functional is PBE.

Results
space-group type	Fm-3m (225)

a b c (Å): 5.6577 5.6577 5.6577
angles (deg): 60.00 60.00 60.00
Last column: magnetic moment on the atom in μB.
Fractional positions:
Cs (0.2500, 0.2500, 0.2500)  0.06
Cs (0.7500, 0.7500, 0.7500)  0.06
Ru (0.5000, 0.5000, 0.5000)  -1.67
Ti (0.0000, 0.0000, 0.0000)  2.18

=====

Which one is most stable, and which one is least stable? w is the most stable of them, while x is the least stable.

=====

--- w ---
This record from Alexandria via LeMat-Bulk describes a relaxed structure of CsTl3Ru. The functional is PBE.

Results
space-group type	Pm-3m (221)

a b c (Å): 5.4227 5.4227 5.4227
angles (deg): 90.00 90.00 90.00
Fractional positions:
Cs (0.5000, 0.5000, 0.5000)
Ru (0.0000, 0.0000, 0.0000)
Tl (0.0000, 0.5000, 0.0000)
Tl (0.0000, 0.0000, 0.5000)
Tl (0.5000, 0.0000, 0.0000)

=====

--- x ---
This record from Alexandria via LeMat-Bulk describes a relaxed structure of CsTl3Ru. The functional is PBE.

Results
space-group type	Pm-3m (221)

a b c (Å): 6.3768 6.3768 6.3768
angles (deg): 90.00 90.00 90.00
Last column: magnetic moment on the atom in μB.
Fractional positions:
Cs (0.0000, 0.0000, 0.0000)  -0.05
Ru (0.5000, 0.5000, 0.5000)  2.52
Tl (0.0000, 0.5000, 0.0000)  -0.06
Tl (0.0000, 0.0000, 0.5000)  -0.04
Tl (0.5000, 0.0000, 0.0000)  -0.08

=====

Which one is most stable, and which one is least stable? w is the most stable of them, while x is the least stable.

=====

--- w ---
This record from Alexandria via LeMat-Bulk describes a relaxed structure of CsTlRu3. The functional is PBE.

Results
space-group type	Pm-3m (221)

a b c (Å): 5.0077 5.0077 5.0077
angles (deg): 90.00 90.00 90.00
Last column: magnetic moment on the atom in μB.
Fractional positions:
Cs (0.0000, 0.0000, 0.0000)  -0.01
Ru (0.0000, 0.5000, 0.0000)  1.43
Ru (0.0000, 0.0000, 0.5000)  1.34
Ru (0.5000, 0.0000, 0.0000)  1.34
Tl (0.5000, 0.5000, 0.5000)  0.06

=====

--- x ---
This record from Alexandria via LeMat-Bulk describes a relaxed structure of CsTlRu3. The functional is PBE.

Results
space-group type	Pm-3m (221)

a b c (Å): 5.2108 5.2108 5.2108
angles (deg): 90.00 90.00 90.00
Last column: magnetic moment on the atom in μB.
Fractional positions:
Cs (0.5000, 0.5000, 0.5000)  0.01
Ru (0.0000, 0.5000, 0.0000)  1.93
Ru (0.0000, 0.0000, 0.5000)  1.96
Ru (0.5000, 0.0000, 0.0000)  1.43
Tl (0.0000, 0.0000, 0.0000)  -0.06

=====

Which one is most stable, and which one is least stable? x is the most stable of them, while w is the least stable.

=====

--- w ---
This record from Alexandria via LeMat-Bulk describes a relaxed structure of CsV3Ru. The functional is PBE.

Results
space-group type	Pm-3m (221)

a b c (Å): 4.6726 4.6726 4.6726
angles (deg): 90.00 90.00 90.00
Last column: magnetic moment on the atom in μB.
Fractional positions:
Cs (0.0000, 0.0000, 0.0000)  0.01
Ru (0.5000, 0.5000, 0.5000)  0.97
V (0.0000, 0.5000, 0.0000)  -0.10
V (0.0000, 0.0000, 0.5000)  -0.10
V (0.5000, 0.0000, 0.0000)  -0.10

=====

--- x ---
This record from Alexandria via LeMat-Bulk describes a relaxed structure of CsV3Ru. The functional is PBE.

Results
space-group type	Pm-3m (221)

a b c (Å): 4.9271 4.9271 4.9271
angles (deg): 90.00 90.00 90.00
Last column: magnetic moment on the atom in μB.
Fractional positions:
Cs (0.5000, 0.5000, 0.5000)  0.12
Ru (0.0000, 0.0000, 0.0000)  -0.56
V (0.0000, 0.5000, 0.0000)  2.13
V (0.0000, 0.0000, 0.5000)  2.13
V (0.5000, 0.0000, 0.0000)  2.13

=====

Which one is most stable, and which one is least stable? x is the most stable of them, while w is the least stable.

=====

--- w ---
This record from Alexandria via LeMat-Bulk describes a relaxed structure of CsVRu3. The functional is PBE.

Results
space-group type	Pm-3m (221)

a b c (Å): 4.7334 4.7334 4.7334
angles (deg): 90.00 90.00 90.00
Last column: magnetic moment on the atom in μB.
Fractional positions:
Cs (0.5000, 0.5000, 0.5000)  0.05
Ru (0.0000, 0.5000, 0.0000)  1.21
Ru (0.0000, 0.0000, 0.5000)  1.21
Ru (0.5000, 0.0000, 0.0000)  1.21
V (0.0000, 0.0000, 0.0000)  -0.51

=====

--- x ---
This record from Alexandria via LeMat-Bulk describes a relaxed structure of CsVRu3. The functional is PBE.

Results
space-group type	Pm-3m (221)

a b c (Å): 4.8632 4.8632 4.8632
angles (deg): 90.00 90.00 90.00
Last column: magnetic moment on the atom in μB.
Fractional positions:
Cs (0.0000, 0.0000, 0.0000)  0.03
Ru (0.0000, 0.5000, 0.0000)  -1.11
Ru (0.0000, 0.0000, 0.5000)  -1.11
Ru (0.5000, 0.0000, 0.0000)  -1.11
V (0.5000, 0.5000, 0.5000)  2.77

=====

Which one is most stable, and which one is least stable? w is the most stable of them, while x is the least stable.

=====

--- w ---
This record from Alexandria via LeMat-Bulk describes a relaxed structure of CsRuW2. The functional is PBE.

Results
space-group type	I4_1/amd (141)

a b c (Å): 5.2251 5.2251 9.2852
angles (deg): 73.66 73.66 90.00
Fractional positions:
Cs (0.0000, 0.0000, 0.0000)
Cs (0.7500, 0.2500, 0.5000)
Ru (0.5000, 0.5000, 0.0000)
Ru (0.2500, 0.7500, 0.5000)
W (0.3742, 0.1250, 0.2500)
W (0.3758, 0.6250, 0.2500)
W (0.3750, 0.6258, 0.7500)
W (0.8750, 0.6242, 0.7500)

=====

--- x ---
This record from Alexandria via LeMat-Bulk describes a relaxed structure of CsRuW2. The functional is PBE.

Results
space-group type	Fm-3m (225)

a b c (Å): 4.6745 4.6745 4.6745
angles (deg): 60.00 60.00 60.00
Fractional positions:
Cs (0.5000, 0.5000, 0.5000)
Ru (0.0000, 0.0000, 0.0000)
W (0.2500, 0.2500, 0.2500)
W (0.7500, 0.7500, 0.7500)

=====

Which one is most stable, and which one is least stable? w is the most stable of them, while x is the least stable.

=====

--- w ---
This record from Alexandria via LeMat-Bulk describes a relaxed structure of CsRuW3. The functional is PBE.

Results
space-group type	Pm-3m (221)

a b c (Å): 4.8418 4.8418 4.8418
angles (deg): 90.00 90.00 90.00
Last column: magnetic moment on the atom in μB.
Fractional positions:
Cs (0.0000, 0.0000, 0.0000)  0.00
Ru (0.5000, 0.5000, 0.5000)  1.78
W (0.0000, 0.5000, 0.0000)  -0.05
W (0.0000, 0.0000, 0.5000)  -0.07
W (0.5000, 0.0000, 0.0000)  -0.07

=====

--- x ---
This record from Alexandria via LeMat-Bulk describes a relaxed structure of CsRuW3. The functional is PBE.

Results
space-group type	Pm-3m (221)

a b c (Å): 4.9028 4.9028 4.9028
angles (deg): 90.00 90.00 90.00
Fractional positions:
Cs (0.5000, 0.5000, 0.5000)
Ru (0.0000, 0.0000, 0.0000)
W (0.0000, 0.5000, 0.0000)
W (0.0000, 0.0000, 0.5000)
W (0.5000, 0.0000, 0.0000)

=====

Which one is most stable, and which one is least stable? x is the most stable of them, while w is the least stable.